Entry 1:
A geometry-optimized NaLiI2 structure, computed with PBE.

Output
SG: R-3m, No. 166
Magnetic moment (μB/atom): 0.00
Electronic total energy (eV per atom): -2.794
Polymorph energy (0 for the lowest one) (eV per formula unit): 0.00

abc: 4.4078 4.4078 7.7609
angles: 73.50 73.50 60.00
Closest atoms and distances in Å follow each position.
Fractional positions:
I (0.7434, 0.7434, 0.7698)  3 Li 3.05, 3 Na 3.22
I (0.2566, 0.2566, 0.2302)  3 Li 3.05, 3 Na 3.22
Na (0.5000, 0.5000, 0.5000)  6 I 3.22
Li (0.0000, 0.0000, 0.0000)  6 I 3.05

***

Entry 2:
A geometry-optimized Ac8Sm6Er structure, computed with PBE.

Output
SG: R-3, No. 148
Magnetic moment (μB/atom): 0.00
Electronic total energy (eV per atom): -4.142
Energy of formation from the pure elements (eV/f.u.): 3.61

abc: 9.2260 9.2260 9.2260
angles: 66.48 66.48 66.48
Closest atoms and distances in Å follow each position.
Fractional positions:
Ac (0.1769, 0.5897, 0.8618)  3 Sm 3.49-3.73, 1 Ac 3.77
Ac (0.1382, 0.8231, 0.4103)  3 Sm 3.49-3.73, 1 Ac 3.77
Ac (0.4103, 0.1382, 0.8231)  3 Sm 3.49-3.73, 1 Ac 3.77
Ac (0.7286, 0.7286, 0.7286)  6 Sm 3.53-3.81, 3 Ac 3.92
Ac (0.2714, 0.2714, 0.2714)  6 Sm 3.53-3.81, 3 Ac 3.92
Ac (0.5897, 0.8618, 0.1769)  3 Sm 3.49-3.73, 1 Ac 3.77
Ac (0.8618, 0.1769, 0.5897)  3 Sm 3.49-3.73, 1 Ac 3.77
Ac (0.8231, 0.4103, 0.1382)  3 Sm 3.49-3.73, 1 Ac 3.77
Sm (0.0579, 0.3691, 0.6836)  5 Ac 3.49-3.81, 1 Er 3.56, 3 Sm 3.57-3.81
Sm (0.3164, 0.9421, 0.6309)  5 Ac 3.49-3.81, 1 Er 3.56, 3 Sm 3.57-3.81
Sm (0.6309, 0.3164, 0.9421)  5 Ac 3.49-3.81, 1 Er 3.56, 3 Sm 3.57-3.81
Sm (0.3691, 0.6836, 0.0579)  5 Ac 3.49-3.81, 1 Er 3.56, 3 Sm 3.57-3.81
Sm (0.6836, 0.0579, 0.3691)  5 Ac 3.49-3.81, 1 Er 3.56, 3 Sm 3.57-3.81
Sm (0.9421, 0.6309, 0.3164)  5 Ac 3.49-3.81, 1 Er 3.56, 3 Sm 3.57-3.81
Er (0.0000, 0.0000, 0.0000)  6 Sm 3.56, 6 Ac 3.99

***

Entry 3:
A geometry-optimized Mn2NiPd4 structure, computed with PBE.

Output
SG: P1, No. 1
Magnetic moment (μB/atom): 1.38
Electronic total energy (eV per atom): -6.542
Energy of formation from the pure elements (eV/f.u.): -0.91

abc: 5.4666 7.2181 6.2183
angles: 114.44 102.50 102.26
Closest atoms and distances in Å follow each position.
Fractional positions:
Mn (0.6430, 0.7078, 0.4876)  3 Ni 2.60-2.75, 7 Pd 2.65-2.82, 2 Mn 2.89-2.90
Mn (0.2457, 0.1139, 0.6083)  2 Ni 2.60, 8 Pd 2.68-2.82, 2 Mn 2.87-2.90
Mn (0.7174, 0.4150, 0.0405)  9 Pd 2.65-2.82, 1 Ni 2.72, 2 Mn 2.89-2.90
Mn (0.3303, 0.8334, 0.1663)  8 Pd 2.64-2.80, 2 Ni 2.73-2.79, 2 Mn 2.87-2.90
Ni (0.1341, 0.7038, 0.4686)  5 Mn 2.60-2.75, 6 Pd 2.63-2.78, 1 Ni 2.79
Ni (0.0479, 0.9878, 0.8891)  3 Mn 2.60-2.79, 8 Pd 2.69-2.80, 1 Ni 2.79
Pd (0.7565, 0.1223, 0.6058)  5 Mn 2.66-2.78, 6 Pd 2.71-2.89, 1 Ni 2.73
Pd (0.4098, 0.5438, 0.7422)  4 Mn 2.71-2.81, 7 Pd 2.71-2.78, 1 Ni 2.78
Pd (0.4728, 0.2582, 0.3155)  4 Mn 2.68-2.82, 7 Pd 2.71-2.84, 1 Ni 2.71
Pd (0.9774, 0.2687, 0.3141)  2 Mn 2.67-2.82, 8 Pd 2.72-2.80, 2 Ni 2.74-2.75
Pd (0.9212, 0.5644, 0.7488)  3 Mn 2.64-2.77, 2 Ni 2.69, 7 Pd 2.71-2.87
Pd (0.8393, 0.8326, 0.1792)  5 Mn 2.65-2.77, 2 Ni 2.73-2.80, 5 Pd 2.78-2.87
Pd (0.2169, 0.4192, 0.0494)  5 Mn 2.66-2.78, 5 Pd 2.71-2.89, 2 Ni 2.71-2.77
Pd (0.5377, 0.9791, 0.8846)  3 Ni 2.63-2.77, 4 Mn 2.70-2.75, 5 Pd 2.71-2.87